Entry 1:
{"formula": "HfTlNiPd2", "functional": "meta-GGA SCAN", "state": "PBEsol geometry", "lattice_angstrom": [[4.578, 0.000, 0.000], [0.000, 4.578, 0.000], [0.000, 0.000, 4.583]], "species": ["Hf", "Tl", "Ni", "Pd", "Pd"], "fractional_positions": [[0.000, 0.000, 0.000], [0.500, 0.500, 0.000], [0.500, 0.500, 0.500], [0.000, 0.500, 0.500], [0.500, 0.000, 0.500]], "total_magnetization_mub_per_atom": 0.25, "ef_ev_per_atom": 0.599, "vol_a3_per_fu": 96, "rho_g_cm3": 11.3, "space_group": "P4/mmm, No. 123"}

---

Entry 2:
{"formula": "HfZnNi2Pt", "functional": "meta-GGA SCAN", "state": "PBEsol geometry", "lattice_angstrom": [[4.157, 0.000, 0.000], [0.000, 4.157, 0.000], [0.000, 0.000, 4.821]], "species": ["Hf", "Zn", "Ni", "Ni", "Pt"], "fractional_positions": [[0.000, 0.000, 0.000], [0.000, 0.000, 0.500], [0.000, 0.500, 0.500], [0.500, 0.000, 0.500], [0.500, 0.500, 0.000]], "total_magnetization_mub_per_atom": 0.00, "ef_ev_per_atom": 0.691, "vol_a3_per_fu": 83, "rho_g_cm3": 11.1, "space_group": "P4/mmm, No. 123"}

---

Entry 3:
{"formula": "RbHfNi3", "functional": "meta-GGA SCAN", "state": "PBEsol geometry", "lattice_angstrom": [[4.505, 0.000, 0.000], [0.000, 4.505, 0.000], [0.000, 0.000, 4.505]], "species": ["Rb", "Hf", "Ni", "Ni", "Ni"], "fractional_positions": [[0.000, 0.000, 0.000], [0.500, 0.500, 0.500], [0.000, 0.000, 0.500], [0.000, 0.500, 0.000], [0.500, 0.000, 0.000]], "total_magnetization_mub_per_atom": 0.00, "ef_ev_per_atom": 2.177, "vol_a3_per_fu": 91, "rho_g_cm3": 8.0, "space_group": "Pm-3m, No. 221"}

---

Entry 4:
{"formula": "Hf4NiRh", "functional": "meta-GGA SCAN", "state": "PBEsol geometry", "lattice_angstrom": [[0.000, 6.007, 6.007], [6.007, 0.000, 6.007], [6.007, 6.007, 0.000]], "species": ["Hf", "Hf", "Hf", "Hf", "Hf", "Hf", "Hf", "Hf", "Hf", "Hf", "Hf", "Hf", "Hf", "Hf", "Hf", "Hf", "Ni", "Ni", "Ni", "Ni", "Rh", "Rh", "Rh", "Rh"], "fractional_positions": [[0.053, 0.053, 0.447], [0.053, 0.447, 0.053], [0.053, 0.447, 0.447], [0.173, 0.609, 0.609], [0.186, 0.186, 0.814], [0.186, 0.814, 0.186], [0.186, 0.814, 0.814], [0.447, 0.053, 0.053], [0.447, 0.053, 0.447], [0.447, 0.447, 0.053], [0.609, 0.173, 0.609], [0.609, 0.609, 0.173], [0.609, 0.609, 0.609], [0.814, 0.186, 0.186], [0.814, 0.186, 0.814], [0.814, 0.814, 0.186], [0.395, 0.395, 0.395], [0.395, 0.395, 0.815], [0.395, 0.815, 0.395], [0.815, 0.395, 0.395], [0.500, 0.833, 0.833], [0.833, 0.500, 0.833], [0.833, 0.833, 0.500], [0.833, 0.833, 0.833]], "total_magnetization_mub_per_atom": 0.00, "ef_ev_per_atom": -0.554, "vol_a3_per_fu": 108, "rho_g_cm3": 13.4, "space_group": "F-43m, No. 216"}

---

Entry 5:
{"formula": "Hf2NiRh2", "functional": "meta-GGA SCAN", "state": "PBEsol geometry", "lattice_angstrom": [[4.890, 0.000, 0.000], [0.000, 4.890, 0.000], [0.000, 0.000, 7.551]], "species": ["Hf", "Hf", "Hf", "Hf", "Ni", "Ni", "Rh", "Rh", "Rh", "Rh"], "fractional_positions": [[0.000, 0.500, 0.250], [0.000, 0.500, 0.750], [0.500, 0.000, 0.250], [0.500, 0.000, 0.750], [0.000, 0.000, 0.000], [0.500, 0.500, 0.500], [0.000, 0.000, 0.336], [0.000, 0.000, 0.664], [0.500, 0.500, 0.164], [0.500, 0.500, 0.836]], "total_magnetization_mub_per_atom": 0.00, "ef_ev_per_atom": -0.234, "vol_a3_per_fu": 90, "rho_g_cm3": 11.4, "space_group": "I4/mmm, No. 139"}

---

Entry 6:
{"formula": "Hf2Ni2Rh", "functional": "meta-GGA SCAN", "state": "PBEsol geometry", "lattice_angstrom": [[6.817, 0.000, 0.000], [0.000, 6.817, 0.000], [0.000, 0.000, 3.197]], "species": ["Hf", "Hf", "Hf", "Hf", "Ni", "Ni", "Ni", "Ni", "Rh", "Rh"], "fractional_positions": [[0.179, 0.321, 0.000], [0.321, 0.821, 0.000], [0.679, 0.179, 0.000], [0.821, 0.679, 0.000], [0.123, 0.623, 0.500], [0.377, 0.123, 0.500], [0.623, 0.877, 0.500], [0.877, 0.377, 0.500], [0.000, 0.000, 0.500], [0.500, 0.500, 0.500]], "total_magnetization_mub_per_atom": 0.00, "ef_ev_per_atom": -0.664, "vol_a3_per_fu": 74, "rho_g_cm3": 12.9, "space_group": "P4/mbm, No. 127"}

---

Entry 7:
{"formula": "YHfNi2Rh", "functional": "meta-GGA SCAN", "state": "PBEsol geometry", "lattice_angstrom": [[4.581, 0.000, 0.000], [0.000, 4.581, 0.000], [0.000, 0.000, 4.773]], "species": ["Y", "Hf", "Ni", "Ni", "Rh"], "fractional_positions": [[0.000, 0.000, 0.000], [0.500, 0.500, 0.000], [0.000, 0.500, 0.500], [0.500, 0.000, 0.500], [0.000, 0.000, 0.500]], "total_magnetization_mub_per_atom": 0.52, "ef_ev_per_atom": 0.715, "vol_a3_per_fu": 100, "rho_g_cm3": 8.1, "space_group": "P4/mmm, No. 123"}

---

Entry 8:
{"formula": "HfNi3Ru", "functional": "meta-GGA SCAN", "state": "PBEsol geometry", "lattice_angstrom": [[4.347, 0.000, 0.000], [0.000, 4.347, 0.000], [0.000, 0.000, 4.347]], "species": ["Hf", "Ni", "Ni", "Ni", "Ru"], "fractional_positions": [[0.000, 0.000, 0.000], [0.000, 0.000, 0.500], [0.000, 0.500, 0.000], [0.500, 0.000, 0.000], [0.500, 0.500, 0.500]], "total_magnetization_mub_per_atom": 0.41, "ef_ev_per_atom": 1.491, "vol_a3_per_fu": 82, "rho_g_cm3": 9.2, "space_group": "Pm-3m, No. 221"}

---

Number 1: calculated total energy -42.75 eV/atom. Number 2: calculated total energy -35.05 eV/atom. Number 3: calculated total energy -24.21 eV/atom. Number 4: calculated total energy -50.66 eV/atom. Number 5: calculated total energy -42.05 eV/atom. Number 6: calculated total energy -38.96 eV/atom. Number 7: calculated total energy -30.61 eV/atom. Number 8: calculated total energy -27.71 eV/atom.